# 1
A relaxed Tb5Tm4Mg crystal. Source: the Alexandria database, functional GGA-PBE.

- E above lowest polymorph (meV/atom) = 0
- DFT total energy (eV/atom) = -4.2604
- density of states at the Fermi level (states/eV/f.u.) = 13.54

abc: 3.535 3.535 24.253
angles: 90.00 90.00 90.00
Space group P4/mmm (No. 123)
One atom of each set of equivalent atoms:
1 Tb 0.000 0.000 0.000 [1 per cell]
2 Tb 0.000 0.000 0.204 [2 per cell]
3 Tb 0.000 0.000 0.408 [2 per cell]
4 Tm 0.500 0.500 0.102 [2 per cell]
5 Tm 0.500 0.500 0.307 [2 per cell]
6 Mg 0.500 0.500 0.500 [1 per cell]

---

# 2
A relaxed Pm3HoEr6Th2 crystal. Source: the Alexandria database, functional GGA-PBE.

- DFT total energy (eV/atom) = -5.0693
- density of states at the Fermi level (states/eV/f.u.) = 15.31

abc: 6.171 10.684 11.718
angles: 90.00 100.12 90.00
Space group C2/m (No. 12)
One atom of each set of equivalent atoms:
1 Pm 0.000 0.000 0.000 [2 per cell]
2 Pm 0.000 0.334 0.000 [4 per cell]
3 Ho 0.000 0.500 0.500 [2 per cell]
4 Er 0.245 0.000 0.746 [4 per cell]
5 Er 0.250 0.169 0.254 [8 per cell]
6 Th 0.000 0.167 0.500 [4 per cell]

---

Q: density of states at the Fermi level of number 2 (Pm3HoEr6Th2)?
A: 15.31 states/eV/f.u.

---

Q: Among the records above, which one has the highest density of states at the Fermi level?
A: Pm3HoEr6Th2

---

Q: Which value of density of states at the Fermi level does entry 2 give?
A: 15.31 states/eV/f.u.